A plane-wave DFT calculation with GGA+U was carried out for CrPdI2O after structural relaxation.

Calculated values
Its total magnetic moment is 0.45 μB per atom. The calculation puts the uncorrected energy at -21.76 eV/cell. For the energy above the most stable polymorph in this dataset, the calculation gives 0 meV per atom. As for the crystal system: tetragonal. Its density of states at the Fermi level is 4.2 states/eV/f.u.

a = 5.6593 Å, b = 5.6593 Å, c = 3.6331 Å
α = 90.00°, β = 90.00°, γ = 90.00°
Closest atoms and distances in Å follow each position.
Fractional coordinates of all 5 atoms:
Cr  0.0000  0.0000  0.0000  2 O 1.82
Pd  0.5000  0.5000  0.5000  8 I 3.36, 2 Pd 3.63
I  0.0000  0.5000  0.0000  2 Cr 2.83
I  0.5000  0.0000  0.0000  2 Cr 2.83
O  0.0000  0.0000  0.5000  2 Cr 1.82